1.
KSr2Re: relaxed, GGA-PBEsol.

Geometry as CIF:
```
data_KSr2Re
_cell_length_a 4.179
_cell_length_b 4.179
_cell_length_c 9.204
_cell_angle_alpha 90.00
_cell_angle_beta 90.00
_cell_angle_gamma 90.00
_symmetry_space_group_name_H-M 'P 4 m m'
_symmetry_Int_Tables_number 99
_symmetry_space_group_name_Hall 'P 4 -2'
loop_
_atom_site_label
_atom_site_fract_x
_atom_site_fract_y
_atom_site_fract_z
K1 0.000 0.000 0.000
Sr1 0.000 0.000 0.365
Sr2 0.500 0.500 0.626
Re1 0.500 0.500 0.288
```

Output
- Calculated volume: 160.7 Å³/cell
- Formation energy: 1.223 eV per atom
- Total energy: -13.3 eV for the cell shown

---

2.
Nb2Tc: relaxed, GGA-PBEsol.

Geometry as CIF:
```
data_Nb2Tc
_cell_length_a 3.184
_cell_length_b 3.184
_cell_length_c 9.715
_cell_angle_alpha 90.00
_cell_angle_beta 90.00
_cell_angle_gamma 90.00
_symmetry_space_group_name_H-M 'I 4/m m m'
_symmetry_Int_Tables_number 139
_symmetry_space_group_name_Hall '-I 4 2'
loop_
_atom_site_label
_atom_site_fract_x
_atom_site_fract_y
_atom_site_fract_z
Nb1 0.000 0.000 0.161
Tc1 0.000 0.000 0.500
```

Output
- Calculated volume: 98.5 Å³/cell
- Formation energy: -0.240 eV per atom
- Total energy: -67.3 eV for the cell shown

---

3.
Ti2SnHPb: relaxed, GGA-PBEsol.

Geometry as CIF:
```
data_Ti2SnHPb
_cell_length_a 4.257
_cell_length_b 4.257
_cell_length_c 4.511
_cell_angle_alpha 90.00
_cell_angle_beta 90.00
_cell_angle_gamma 90.00
_symmetry_space_group_name_H-M 'P 4/m m m'
_symmetry_Int_Tables_number 123
_symmetry_space_group_name_Hall '-P 4 2'
loop_
_atom_site_label
_atom_site_fract_x
_atom_site_fract_y
_atom_site_fract_z
Ti1 0.000 0.500 0.000
Sn1 0.000 0.000 0.500
H1 0.000 0.000 0.000
Pb1 0.500 0.500 0.500
```

Output
- Calculated volume: 81.7 Å³/cell
- Total energy: -27.8 eV for the cell shown

---

4.
ReAgOsC2: relaxed, GGA-PBEsol.

Geometry as CIF:
```
data_ReAgOsC2
_cell_length_a 3.787
_cell_length_b 3.787
_cell_length_c 5.181
_cell_angle_alpha 90.00
_cell_angle_beta 90.00
_cell_angle_gamma 90.00
_symmetry_space_group_name_H-M 'P 4/m m m'
_symmetry_Int_Tables_number 123
_symmetry_space_group_name_Hall '-P 4 2'
loop_
_atom_site_label
_atom_site_fract_x
_atom_site_fract_y
_atom_site_fract_z
Re1 0.000 0.000 0.000
Ag1 0.500 0.500 0.500
Os1 0.500 0.500 0.000
C1 0.000 0.500 0.500
```

Output
- Calculated volume: 74.3 Å³/cell
- Formation energy: 3.357 eV per atom
- Total energy: -31.4 eV for the cell shown

---

5.
NiAg3Bi: relaxed, GGA-PBEsol.

Geometry as CIF:
```
data_NiAg3Bi
_cell_length_a 5.203
_cell_length_b 5.203
_cell_length_c 5.203
_cell_angle_alpha 90.00
_cell_angle_beta 90.00
_cell_angle_gamma 90.00
_symmetry_space_group_name_H-M 'P m -3 m'
_symmetry_Int_Tables_number 221
_symmetry_space_group_name_Hall '-P 4 2 3'
loop_
_atom_site_label
_atom_site_fract_x
_atom_site_fract_y
_atom_site_fract_z
Ni1 0.000 0.000 0.000
Ag1 0.000 0.500 0.500
Bi1 0.500 0.500 0.500
```

Output
- Calculated volume: 140.8 Å³/cell
- Formation energy: 1.336 eV per atom
- Total energy: -13.7 eV for the cell shown

---

6.
ReAs2Au: relaxed, GGA-PBEsol.

Geometry as CIF:
```
data_ReAs2Au
_cell_length_a 3.154
_cell_length_b 3.948
_cell_length_c 5.242
_cell_angle_alpha 90.00
_cell_angle_beta 90.00
_cell_angle_gamma 90.00
_symmetry_space_group_name_H-M 'P m m 2'
_symmetry_Int_Tables_number 25
_symmetry_space_group_name_Hall 'P 2 -2'
loop_
_atom_site_label
_atom_site_fract_x
_atom_site_fract_y
_atom_site_fract_z
Re1 0.000 0.000 0.000
As1 0.000 0.000 0.508
As2 0.500 0.500 0.156
Au1 0.500 0.500 0.673
```

Output
- Calculated volume: 65.3 Å³/cell
- Formation energy: 0.383 eV per atom
- Polymorph energy (0 for the lowest one): 0.016 eV/atom
- Total energy: -25.9 eV for the cell shown

---

7.
BPbSe2: relaxed, GGA-PBEsol.

Geometry as CIF:
```
data_BPbSe2
_cell_length_a 6.892
_cell_length_b 6.892
_cell_length_c 6.892
_cell_angle_alpha 90.00
_cell_angle_beta 90.00
_cell_angle_gamma 90.00
_symmetry_space_group_name_H-M 'F m -3 m'
_symmetry_Int_Tables_number 225
_symmetry_space_group_name_Hall '-F 4 2 3'
loop_
_atom_site_label
_atom_site_fract_x
_atom_site_fract_y
_atom_site_fract_z
B1 0.000 0.000 0.000
Pb1 0.000 0.000 0.500
Se1 0.250 0.250 0.250
```

Output
- Calculated volume: 327.3 Å³/cell
- Energy relative to the elements, uncorrected: 3.66 eV/f.u.
- Total energy: -60.2 eV for the cell shown

---

8.
Sr2BeCl: relaxed, GGA-PBEsol.

Geometry as CIF:
```
data_Sr2BeCl
_cell_length_a 7.706
_cell_length_b 7.706
_cell_length_c 7.706
_cell_angle_alpha 90.00
_cell_angle_beta 90.00
_cell_angle_gamma 90.00
_symmetry_space_group_name_H-M 'F -4 3 m'
_symmetry_Int_Tables_number 216
_symmetry_space_group_name_Hall 'F -4 2 3'
loop_
_atom_site_label
_atom_site_fract_x
_atom_site_fract_y
_atom_site_fract_z
Sr1 0.000 0.000 0.000
Sr2 0.250 0.250 0.250
Be1 0.000 0.000 0.500
Cl1 0.250 0.250 0.750
```

Output
- Calculated volume: 457.6 Å³/cell
- Energy relative to the elements, uncorrected: 0.98 eV/f.u.
- Polymorph energy (0 for the lowest one): 0.811 eV/atom
- Total energy: -34.8 eV for the cell shown

---

9.
HfFe2WI: relaxed, GGA-PBEsol.

Geometry as CIF:
```
data_HfFe2WI
_cell_length_a 4.430
_cell_length_b 4.430
_cell_length_c 5.154
_cell_angle_alpha 90.00
_cell_angle_beta 90.00
_cell_angle_gamma 90.00
_symmetry_space_group_name_H-M 'P 4/m m m'
_symmetry_Int_Tables_number 123
_symmetry_space_group_name_Hall '-P 4 2'
loop_
_atom_site_label
_atom_site_fract_x
_atom_site_fract_y
_atom_site_fract_z
Hf1 0.000 0.000 0.000
Fe1 0.000 0.500 0.500
W1 0.500 0.500 0.500
I1 0.500 0.500 0.000
```

Output
- Calculated volume: 101.1 Å³/cell
- Energy relative to the elements, uncorrected: 7.92 eV/f.u.
- Total energy: -36.1 eV for the cell shown

---

10.
Ca3Y2Ge3O12: relaxed, GGA-PBEsol.

Geometry as CIF:
```
data_Ca3Y2Ge3O12
_cell_length_a 12.778
_cell_length_b 12.778
_cell_length_c 12.778
_cell_angle_alpha 90.00
_cell_angle_beta 90.00
_cell_angle_gamma 90.00
_symmetry_space_group_name_H-M 'I a -3 d'
_symmetry_Int_Tables_number 230
_symmetry_space_group_name_Hall '-I 4bd 2c 3'
loop_
_atom_site_label
_atom_site_fract_x
_atom_site_fract_y
_atom_site_fract_z
Ca1 0.000 0.250 0.125
Y1 0.000 0.000 0.000
Ge1 0.000 0.250 0.375
O1 0.035 0.057 0.660
```

Output
- Calculated volume: 2086.2 Å³/cell
- Energy relative to the elements, uncorrected: -54.39 eV/f.u.
- Total energy: -1217.9 eV for the cell shown

---

11.
Ta9Fe2S6: relaxed, GGA-PBEsol.

Geometry as CIF:
```
data_Ta9Fe2S6
_cell_length_a 10.2913
_cell_length_b 10.2913
_cell_length_c 6.5242
_cell_angle_alpha 90.00
_cell_angle_beta 90.00
_cell_angle_gamma 120.00
_symmetry_space_group_name_H-M 'P -6 2 m'
_symmetry_Int_Tables_number 189
_symmetry_space_group_name_Hall 'P -6 -2'
loop_
_atom_site_label
_atom_site_fract_x
_atom_site_fract_y
_atom_site_fract_z
Ta1 0.0000 0.5413 0.2462
Ta2 0.1908 0.4554 0.5000
Ta3 0.2152 0.4723 0.0000
Fe1 0.3333 0.6667 0.2823
S1 0.0000 0.2977 0.2341
S2 0.0000 0.7233 0.5000
S3 0.0000 0.7253 0.0000
```

Output
- Calculated volume: 598.4 Å³/cell
- Energy relative to the elements, uncorrected: -13.83 eV/f.u.
- Total energy: -342.0 eV for the cell shown